(1)
LaTmGaPb | PBE | optimized geometry

Calculated volume = 27.5 Å³/atom
Magnetic moment = 0.000 μB per formula unit
Energy relative to the elements = -456 meV per atom
DOS at the Fermi energy = 2.42 states/eV/f.u.

```
4
Lattice="0.000 3.802 3.802 3.802 0.000 3.802 3.802 3.802 0.000" Properties=species:S:1:pos:R:3 pbc="T T T"
La 0.000 0.000 0.000
Tm 3.802 3.802 3.802
Ga 1.901 1.901 1.901
Pb 5.703 5.703 5.703
```

=====

(2)
PrHoSc2Hg4 | PBE | optimized geometry

Calculated volume = 24.6 Å³/atom
Magnetic moment = 0.975 μB per formula unit
Energy relative to the elements = -428 meV per atom
DOS at the Fermi energy = 8.07 states/eV/f.u.

```
8
Lattice="2.582 1.491 8.530 -2.582 1.491 8.530 0.000 -2.982 8.530" Properties=species:S:1:pos:R:3 pbc="T T T"
Pr 0.000 0.000 0.000
Ho 0.000 0.000 12.794
Sc 0.000 0.000 6.376
Sc 0.000 0.000 19.213
Hg 0.000 0.000 3.273
Hg 0.000 0.000 9.709
Hg 0.000 0.000 15.880
Hg 0.000 0.000 22.316
```

=====

(3)
La2FeRu | PBE | optimized geometry

Calculated volume = 20.9 Å³/atom
Magnetic moment = 2.613 μB per formula unit
Energy relative to the elements = 252 meV per atom
DOS at the Fermi energy = 6.84 states/eV/f.u.

```
4
Lattice="0.000 3.472 3.472 3.472 0.000 3.472 3.472 3.472 0.000" Properties=species:S:1:pos:R:3 pbc="T T T"
La 0.000 0.000 0.000
La 1.736 1.736 1.736
Fe 3.472 3.472 3.472
Ru 5.207 5.207 5.207
```

=====

(4)
BaZrOs3 | PBE | optimized geometry

Calculated volume = 25.2 Å³/atom
Magnetic moment = 1.457 μB per formula unit
Energy relative to the elements = 1703 meV per atom
Offset from the most stable computed form = 0 meV/atom
DOS at the Fermi energy = 12.32 states/eV/f.u.

```
5
Lattice="5.015 0.000 0.000 0.000 5.015 0.000 0.000 0.000 5.015" Properties=species:S:1:pos:R:3 pbc="T T T"
Ba 0.000 0.000 0.000
Zr 2.507 2.507 2.507
Os 0.000 2.507 2.507
Os 2.507 0.000 2.507
Os 2.507 2.507 0.000
```

=====

> magnetic moment of number 1 (LaTmGaPb)?

0.000 μB per formula unit

=====

Repeat the fourth record exactly.
BaZrOs3 | PBE | optimized geometry

Calculated volume = 25.2 Å³/atom
Magnetic moment = 1.457 μB per formula unit
Energy relative to the elements = 1703 meV per atom
Offset from the most stable computed form = 0 meV/atom
DOS at the Fermi energy = 12.32 states/eV/f.u.

```
5
Lattice="5.015 0.000 0.000 0.000 5.015 0.000 0.000 0.000 5.015" Properties=species:S:1:pos:R:3 pbc="T T T"
Ba 0.000 0.000 0.000
Zr 2.507 2.507 2.507
Os 0.000 2.507 2.507
Os 2.507 0.000 2.507
Os 2.507 2.507 0.000
```

=====

> Which of these has the highest calculated volume?

LaTmGaPb